Entry 1:
# MnCdIn2

A relaxed structure of MnCdIn2 (PBE, Alexandria).

Properties
For the energy of formation, the calculation gives 145 meV per atom. The space group is No. 8.

Cell lengths 7.0410, 7.0410, 4.6569 Å; angles 109.19, 109.19, 24.29 degrees
Fractional coordinates of all 4 atoms:
Mn  0.0000  0.0000  0.0000
Cd  0.3087  0.3087  0.8067
In  0.4902  0.4902  0.4902
In  0.6872  0.6872  0.1862

=====

Entry 2:
# MnNiMo2

A relaxed structure of MnNiMo2 (PBE, Alexandria).

Properties
For the energy of formation, the calculation gives 159 meV per atom. The space group is No. 119.

Cell lengths 4.6296, 4.6296, 4.6296 Å; angles 131.72, 131.72, 70.68 degrees
Fractional coordinates of all 4 atoms:
Mn  0.0000  0.0000  0.0000
Ni  0.2500  0.7500  0.5000
Mo  0.5000  0.5000  0.0000
Mo  0.7500  0.2500  0.5000

=====

Entry 3:
# LaDy2In

A relaxed structure of LaDy2In (PBE, Alexandria).

Properties
For the energy of formation, the calculation gives -91 meV per atom. The space group is No. 225.

Cell lengths 5.4904, 5.4904, 5.4904 Å; angles 60.00, 60.00, 60.00 degrees
Fractional coordinates of all 4 atoms:
La  0.0000  0.0000  0.0000
Dy  0.2500  0.2500  0.2500
Dy  0.7500  0.7500  0.7500
In  0.5000  0.5000  0.5000

=====

| no. | density of states at the Fermi level (states/eV/cell) | uncorrected energy (eV/cell) |
| --- | --- | --- |
| 1 | 2.7 | -14.98 |
| 2 | 4.8 | -35.98 |
| 3 | 7.7 | -17.23 |